NbFeTe2I | PBE | relaxed

Lattice parameters (Å, degrees): 4.9513 4.9513 5.0274 90.00 90.00 90.00
Each line ends with the local moment (μB).
Fractional coordinates of all 5 atoms:
I 0.0000 0.0000 0.5000  -0.01
Fe 0.0000 0.0000 0.0000  0.29
Te 0.0000 0.5000 0.0000  0.01
Te 0.5000 0.0000 0.0000  0.01
Nb 0.5000 0.5000 0.5000  0.04

polymorph energy (0 for the lowest one): 1.062 eV per formula unit
energy relative to the elements, uncorrected: 0.954 eV per atom
ρ: 7.152 g/cm3
SG: No. 123
energy: -4.3189 eV per atom